Entry 1:
Computed, not measured: an optimized crystal structure of Fe3HAu at the PBEsol level of DFT.

Cell and atoms, written as extended XYZ:
```
5
Lattice="3.731 0.000 0.000 0.000 3.731 0.000 0.000 0.000 3.731" Properties=species:S:1:pos:R:3 pbc="T T T"
Fe 0.000 0.000 1.866
Fe 0.000 1.866 0.000
Fe 1.866 0.000 0.000
H 0.000 0.000 0.000
Au 1.866 1.866 1.866
```

Results
- uncorrected energy (eV/atom) = -6.7729
- size of the total moment (μB per formula unit) = 7.38

---

Entry 2:
Computed, not measured: an optimized crystal structure of FeH3Au at the PBEsol level of DFT.

Cell and atoms, written as extended XYZ:
```
5
Lattice="3.301 0.000 0.000 0.000 3.301 0.000 0.000 0.000 3.301" Properties=species:S:1:pos:R:3 pbc="T T T"
Fe 0.000 0.000 0.000
H 0.000 0.000 1.650
H 0.000 1.650 0.000
H 1.650 0.000 0.000
Au 1.650 1.650 1.650
```

Results
- uncorrected energy (eV/atom) = -4.1897
- size of the total moment (μB per formula unit) = 1.28

---

Entry 3:
Computed, not measured: an optimized crystal structure of Hf2FeAu at the PBEsol level of DFT.

Cell and atoms, written as extended XYZ:
```
4
Lattice="0.000 3.246 3.246 3.246 0.000 3.246 3.246 3.246 0.000" Properties=species:S:1:pos:R:3 pbc="T T T"
Hf 1.623 1.623 1.623
Hf 4.869 4.869 4.869
Fe 0.000 0.000 0.000
Au 3.246 3.246 3.246
```

Results
- size of the total moment (μB per formula unit) = 0.61
- energy of formation (eV/atom) = -0.291

---

Entry 4:
Computed, not measured: an optimized crystal structure of FeHg2Au at the PBEsol level of DFT.

Cell and atoms, written as extended XYZ:
```
4
Lattice="2.922 0.000 0.000 0.000 2.922 0.000 0.000 0.000 8.332" Properties=species:S:1:pos:R:3 pbc="T T T"
Fe 0.000 0.000 0.000
Hg 0.000 0.000 4.404
Hg 1.461 1.461 1.892
Au 1.461 1.461 6.648
```

Results
- size of the total moment (μB per formula unit) = 2.91
- energy of formation (eV/atom) = 0.207
- E above lowest polymorph (meV per atom) = 0

---

Entry 5:
Computed, not measured: an optimized crystal structure of FeHg2Au at the PBEsol level of DFT.

Cell and atoms, written as extended XYZ:
```
4
Lattice="-2.163 2.163 3.741 2.163 -2.163 3.741 2.163 2.163 -3.741" Properties=species:S:1:pos:R:3 pbc="T T T"
Fe 0.000 0.000 0.000
Hg 2.163 0.000 1.871
Hg 0.000 2.163 1.871
Au 0.000 0.000 3.741
```

Results
- size of the total moment (μB per formula unit) = 2.85
- energy of formation (eV/atom) = 0.338
- E above lowest polymorph (meV per atom) = 131

---

Entry 6:
Computed, not measured: an optimized crystal structure of Fe3AuI at the PBEsol level of DFT.

Cell and atoms, written as extended XYZ:
```
5
Lattice="4.549 0.000 0.000 0.000 4.549 0.000 0.000 0.000 4.549" Properties=species:S:1:pos:R:3 pbc="T T T"
Fe 0.000 0.000 2.274
Fe 0.000 2.274 0.000
Fe 2.274 0.000 0.000
Au 2.274 2.274 2.274
I 0.000 0.000 0.000
```

Results
- raw formation energy (eV/atom) = 1.508
- size of the total moment (μB per formula unit) = 6.34

---

Entry 7:
Computed, not measured: an optimized crystal structure of FeAuI2O at the PBEsol level of DFT.

Cell and atoms, written as extended XYZ:
```
5
Lattice="5.345 0.000 0.000 0.000 5.345 0.000 0.000 0.000 3.435" Properties=species:S:1:pos:R:3 pbc="T T T"
Fe 0.000 0.000 0.000
Au 2.673 2.673 1.718
I 0.000 2.673 0.000
I 2.673 0.000 0.000
O 0.000 0.000 1.718
```

Results
- raw formation energy (eV/atom) = -0.035
- size of the total moment (μB per formula unit) = 0.00

---

Entry 8:
Computed, not measured: an optimized crystal structure of FeTeAuI2 at the PBEsol level of DFT.

Cell and atoms, written as extended XYZ:
```
5
Lattice="5.437 0.000 0.000 0.000 5.437 0.000 0.000 0.000 5.478" Properties=species:S:1:pos:R:3 pbc="T T T"
Fe 0.000 0.000 0.000
Te 2.718 2.718 0.000
Au 2.718 2.718 2.739
I 0.000 2.718 2.739
I 2.718 0.000 2.739
```

Results
- raw formation energy (eV/atom) = 0.938
- size of the total moment (μB per formula unit) = 4.14

---

Entry 9:
Computed, not measured: an optimized crystal structure of InFeAu2 at the PBEsol level of DFT.

Cell and atoms, written as extended XYZ:
```
4
Lattice="4.824 0.000 0.000 0.000 2.937 0.000 -1.461 0.000 4.696" Properties=species:S:1:pos:R:3 pbc="T T T"
In 0.000 0.000 0.000
Fe 2.412 1.468 0.000
Au -0.730 1.468 2.348
Au 1.682 0.000 2.348
```

Results
- size of the total moment (μB per formula unit) = 2.53
- energy of formation (eV/atom) = 0.145

---

Entry 10:
Computed, not measured: an optimized crystal structure of InFeAu at the PBEsol level of DFT.

Cell and atoms, written as extended XYZ:
```
3
Lattice="4.431 0.000 0.000 -2.215 3.837 0.000 0.000 0.000 2.948" Properties=species:S:1:pos:R:3 pbc="T T T"
In 0.000 0.000 0.000
Fe 2.215 1.279 1.069
Au 0.000 2.558 1.990
```

Results
- size of the total moment (μB per formula unit) = 2.58
- energy of formation (eV/atom) = 0.241

---

Entry 11:
Computed, not measured: an optimized crystal structure of InFeAu3 at the PBEsol level of DFT.

Cell and atoms, written as extended XYZ:
```
5
Lattice="4.783 0.000 0.000 0.000 4.783 0.000 0.000 0.000 4.783" Properties=species:S:1:pos:R:3 pbc="T T T"
In 0.000 0.000 0.000
Fe 2.391 2.391 2.391
Au 0.000 2.391 2.391
Au 2.391 0.000 2.391
Au 2.391 2.391 0.000
```

Results
- size of the total moment (μB per formula unit) = 3.14
- energy of formation (eV/atom) = 0.632

---

Entry 12:
Computed, not measured: an optimized crystal structure of InFeAu2 at the PBEsol level of DFT.

Cell and atoms, written as extended XYZ:
```
4
Lattice="0.000 3.216 3.216 3.216 0.000 3.216 3.216 3.216 0.000" Properties=species:S:1:pos:R:3 pbc="T T T"
In 0.000 0.000 0.000
Fe 4.823 4.823 4.823
Au 1.608 1.608 1.608
Au 3.216 3.216 3.216
```

Results
- size of the total moment (μB per formula unit) = 2.73
- energy of formation (eV/atom) = 0.137

---

Entry 13:
Computed, not measured: an optimized crystal structure of In2FeWAu at the PBEsol level of DFT.

Cell and atoms, written as extended XYZ:
```
5
Lattice="4.965 0.000 0.000 0.000 4.965 0.000 0.000 0.000 4.761" Properties=species:S:1:pos:R:3 pbc="T T T"
In 0.000 2.482 0.000
In 2.482 0.000 0.000
Fe 0.000 0.000 2.380
W 2.482 2.482 2.380
Au 0.000 0.000 0.000
```

Results
- size of the total moment (μB per formula unit) = 5.83
- energy of formation (eV/atom) = 1.682

---

Entry 14:
Computed, not measured: an optimized crystal structure of FeIrAu at the PBEsol level of DFT.

Cell and atoms, written as extended XYZ:
```
3
Lattice="0.000 2.304 6.845 1.391 0.000 6.845 1.391 2.304 0.000" Properties=species:S:1:pos:R:3 pbc="T T T"
Fe 0.000 0.000 0.000
Ir 1.391 2.304 8.909
Au 1.391 2.304 4.572
```

Results
- size of the total moment (μB per formula unit) = 3.37
- energy of formation (eV/atom) = 0.282
- E above lowest polymorph (meV per atom) = 0

---

Entry 15:
Computed, not measured: an optimized crystal structure of Fe3IrAu at the PBEsol level of DFT.

Cell and atoms, written as extended XYZ:
```
5
Lattice="4.531 0.000 0.000 0.000 4.531 0.000 0.000 0.000 4.531" Properties=species:S:1:pos:R:3 pbc="T T T"
Fe 0.000 0.000 2.265
Fe 0.000 2.265 0.000
Fe 2.265 0.000 0.000
Ir 2.265 2.265 2.265
Au 0.000 0.000 0.000
```

Results
- size of the total moment (μB per formula unit) = 10.24
- energy of formation (eV/atom) = 1.905

---

Entry 16:
Computed, not measured: an optimized crystal structure of FeIrAu at the PBEsol level of DFT.

Cell and atoms, written as extended XYZ:
```
3
Lattice="4.316 0.000 0.000 -2.158 3.738 0.000 0.000 0.000 2.704" Properties=species:S:1:pos:R:3 pbc="T T T"
Fe 0.000 0.000 0.000
Ir 0.000 2.492 2.110
Au 2.158 1.246 0.871
```

Results
- size of the total moment (μB per formula unit) = 3.75
- energy of formation (eV/atom) = 0.322
- E above lowest polymorph (meV per atom) = 40

---

Entry 17:
Computed, not measured: an optimized crystal structure of Fe2IrAu at the PBEsol level of DFT.

Cell and atoms, written as extended XYZ:
```
4
Lattice="2.701 0.000 0.000 0.000 3.691 0.000 0.000 0.000 5.445" Properties=species:S:1:pos:R:3 pbc="T T T"
Fe 0.000 0.000 1.218
Fe 0.000 0.000 4.227
Ir 1.350 1.845 0.000
Au 1.350 1.845 2.723
```

Results
- size of the total moment (μB per formula unit) = 5.63
- energy of formation (eV/atom) = 0.106
- E above lowest polymorph (meV per atom) = 0

---

Entry 18:
Computed, not measured: an optimized crystal structure of Fe2IrAu at the PBEsol level of DFT.

Cell and atoms, written as extended XYZ:
```
4
Lattice="4.042 0.000 0.000 0.000 1.338 4.952 0.000 -1.338 4.952" Properties=species:S:1:pos:R:3 pbc="T T T"
Fe 0.000 0.000 0.000
Fe 2.021 0.000 1.276
Ir 2.021 0.000 4.002
Au 0.000 0.000 7.332
```

Results
- size of the total moment (μB per formula unit) = 5.11
- energy of formation (eV/atom) = 0.198
- E above lowest polymorph (meV per atom) = 91

---

Entry 19:
Computed, not measured: an optimized crystal structure of Fe2IrAu at the PBEsol level of DFT.

Cell and atoms, written as extended XYZ:
```
4
Lattice="-1.918 1.918 3.691 1.918 -1.918 3.691 1.918 1.918 -3.691" Properties=species:S:1:pos:R:3 pbc="T T T"
Fe 1.918 0.000 1.846
Fe 0.000 1.918 1.846
Ir 0.000 0.000 0.000
Au 0.000 0.000 3.691
```

Results
- size of the total moment (μB per formula unit) = 6.41
- energy of formation (eV/atom) = 0.138
- E above lowest polymorph (meV per atom) = 32

---

Entry 20:
Computed, not measured: an optimized crystal structure of FeIrAu at the PBEsol level of DFT.

Cell and atoms, written as extended XYZ:
```
3
Lattice="0.000 2.972 2.972 2.972 0.000 2.972 2.972 2.972 0.000" Properties=species:S:1:pos:R:3 pbc="T T T"
Fe 0.000 0.000 0.000
Ir 2.972 2.972 2.972
Au 1.486 1.486 1.486
```

Results
- size of the total moment (μB per formula unit) = 4.08
- energy of formation (eV/atom) = 0.999
- E above lowest polymorph (meV per atom) = 717